The following is a GGA+U calculation of CoMoO3 after structural relaxation, from Alexandria.

Cell: 3.9304 3.9304 3.9304 Å, 90.00 90.00 90.00°
Sites, in units of the cell vectors:
Co 0.0000 0.0000 0.0000
Mo 0.5000 0.5000 0.5000
O 0.0000 0.5000 0.5000
O 0.5000 0.0000 0.5000
O 0.5000 0.5000 0.0000

Calculated values
* final energy: -31.00 eV per cell